ErSbPb2: optimized geometry, PBE.

Output
Uncorrected formation energy, meV per atom: 194
Crystal system: trigonal
Raw total energy, eV/atom: -3.831

a = 3.464 Å, b = 3.464 Å, c = 12.172 Å
α = 81.82°, β = 81.82°, γ = 60.00°
Fractional positions:
Sb 0.500 0.500 0.500
Er 0.000 0.000 0.000
Pb 0.912 0.912 0.263
Pb 0.088 0.088 0.737